Below is a geometry-optimized Ag5Au structure, with properties calculated at the PBE-GGA level.

abc: 10.8593 2.9198 7.0457
angles: 90.00 105.78 90.00
Fractional positions:
Ag  0.0000  0.0000  0.0000
Ag  0.0534  0.0000  0.6096
Ag  0.1651  0.5000  0.3326
Ag  0.3320  0.0000  0.6659
Ag  0.3881  0.0000  0.2776
Ag  0.5000  0.5000  0.0000
Ag  0.5534  0.5000  0.6096
Ag  0.6651  0.0000  0.3326
Ag  0.8320  0.5000  0.6659
Ag  0.8881  0.5000  0.2776
Au  0.2217  0.5000  0.9432
Au  0.7217  0.0000  0.9432

Results
Size of the total moment (μB per cell): 0.00
N(E_F) (states/eV/f.u.): 2.56
Symmetry: Cm, No. 8
Density (g/cm³): 11.38
Total DFT energy (no corrections) (eV/cell): -34.91
Crystal system: monoclinic


Below is a geometry-optimized Ag4Au5 structure, with properties calculated at the PBE-GGA level.

abc: 7.5605 7.5605 7.5605
angles: 92.20 92.20 157.40
Fractional positions:
Ag  0.0000  0.3347  0.3347
Ag  0.0000  0.6653  0.6653
Ag  0.3347  0.0000  0.3347
Ag  0.6653  0.0000  0.6653
Au  0.0000  0.0000  0.0000
Au  0.3324  0.3324  0.6649
Au  0.3324  0.6676  0.0000
Au  0.6676  0.3324  0.0000
Au  0.6676  0.6676  0.3351

Results
Size of the total moment (μB per cell): 0.00
N(E_F) (states/eV/f.u.): 3.02
Symmetry: I4/mmm, No. 139
Density (g/cm³): 14.44
Total DFT energy (no corrections) (eV/cell): -27.77
Crystal system: tetragonal


Below is a geometry-optimized AgAu4 structure, with properties calculated at the PBE-GGA level.

abc: 5.0479 5.0479 5.0479
angles: 90.00 90.00 90.00
Fractional positions:
Ag  0.0000  0.0000  0.0000
Au  0.0000  0.0000  0.5000
Au  0.0000  0.5000  0.0000
Au  0.5000  0.0000  0.0000
Au  0.5000  0.5000  0.5000

Results
Size of the total moment (μB per cell): 0.00
N(E_F) (states/eV/f.u.): 1.84
Symmetry: Pm-3m, No. 221
Density (g/cm³): 11.56
Total DFT energy (no corrections) (eV/cell): -11.25
Crystal system: cubic


Below is a geometry-optimized Ag5Au structure, with properties calculated at the PBE-GGA level.

abc: 4.1330 12.4447 4.1805
angles: 90.00 90.00 90.00
Fractional positions:
Ag  0.0000  0.0000  0.0000
Ag  0.0000  0.1668  0.5000
Ag  0.0000  0.3335  0.0000
Ag  0.0000  0.6665  0.0000
Ag  0.0000  0.8332  0.5000
Ag  0.5000  0.1665  0.0000
Ag  0.5000  0.3332  0.5000
Ag  0.5000  0.5000  0.0000
Ag  0.5000  0.6668  0.5000
Ag  0.5000  0.8335  0.0000
Au  0.0000  0.5000  0.5000
Au  0.5000  0.0000  0.5000

Results
Size of the total moment (μB per cell): 0.00
N(E_F) (states/eV/f.u.): 1.62
Symmetry: Cmmm, No. 65
Density (g/cm³): 11.37
Total DFT energy (no corrections) (eV/cell): -35.19
Crystal system: orthorhombic


Below is a geometry-optimized Ag7Au2 structure, with properties calculated at the PBE-GGA level.

abc: 5.0865 5.0865 7.1966
angles: 90.00 90.00 120.00
Fractional positions:
Ag  0.0000  0.0000  0.0000
Ag  0.0000  0.3336  0.6655
Ag  0.0000  0.6664  0.3345
Ag  0.3336  0.0000  0.6655
Ag  0.3336  0.3336  0.3345
Ag  0.6664  0.0000  0.3345
Ag  0.6664  0.6664  0.6655
Au  0.3333  0.6667  0.0000
Au  0.6667  0.3333  0.0000

Results
Size of the total moment (μB per cell): 0.00
N(E_F) (states/eV/f.u.): 3.56
Symmetry: P-31m, No. 162
Density (g/cm³): 11.83
Total DFT energy (no corrections) (eV/cell): -26.64
Crystal system: trigonal


Below is a geometry-optimized Ag5Au structure, with properties calculated at the PBE-GGA level.

abc: 5.4486 5.4486 5.4486
angles: 60.00 60.00 60.00
Fractional positions:
Ag  0.0000  0.0000  0.0000
Ag  0.3750  0.3750  0.3750
Ag  0.3750  0.3750  0.8750
Ag  0.3750  0.8750  0.3750
Ag  0.8750  0.3750  0.3750
Au  0.7500  0.7500  0.7500

Results
Size of the total moment (μB per cell): 0.00
N(E_F) (states/eV/f.u.): 0.88
Symmetry: F-43m, No. 216
Density (g/cm³): 10.69
Total DFT energy (no corrections) (eV/cell): -16.52
Crystal system: cubic


Below is a geometry-optimized Ag5Au structure, with properties calculated at the PBE-GGA level.

abc: 5.3961 5.3961 4.7952
angles: 90.00 90.00 120.00
Fractional positions:
Ag  0.0000  0.5000  0.0000
Ag  0.3333  0.6667  0.5000
Ag  0.5000  0.0000  0.0000
Ag  0.5000  0.5000  0.0000
Ag  0.6667  0.3333  0.5000
Au  0.0000  0.0000  0.5000

Results
Size of the total moment (μB per cell): 0.00
N(E_F) (states/eV/f.u.): 1.91
Symmetry: P6/mmm, No. 191
Density (g/cm³): 10.11
Total DFT energy (no corrections) (eV/cell): -16.21
Crystal system: hexagonal


Below is a geometry-optimized Ag3Au2 structure, with properties calculated at the PBE-GGA level.

abc: 9.2771 4.1308 6.5689
angles: 90.00 134.58 90.00
Fractional positions:
Ag  0.0000  0.0000  0.0000
Ag  0.0997  0.5000  0.8004
Ag  0.4003  0.0000  0.1996
Ag  0.5000  0.5000  0.0000
Ag  0.5997  0.0000  0.8004
Ag  0.9003  0.5000  0.1996
Au  0.1997  0.0000  0.6005
Au  0.3003  0.5000  0.3995
Au  0.6997  0.5000  0.6005
Au  0.8003  0.0000  0.3995

Results
Size of the total moment (μB per cell): 0.00
N(E_F) (states/eV/f.u.): 1.27
Symmetry: C2/m, No. 12
Density (g/cm³): 13.29
Total DFT energy (no corrections) (eV/cell): -30.62
Crystal system: monoclinic